No. 1
VASP calculation (PBE) on a relaxed Cs3Er2CrSe6 crystal.

Structure (POSCAR):
```
Cs3Er2CrSe6
1.0
-2.3707 -3.1256 5.9841
-0.8309 -3.2625 -6.3139
8.4244 -1.5945 1.0726
Se Cs Er Cr
6 3 2 1
Cartesian
1.0396 -1.6716 -1.7931 Se
4.6619 -6.3535 -1.2874 Se
4.1832 -6.3110 2.5359 Se
0.5609 -1.6290 2.0303 Se
6.1127 -2.9144 0.7978 Se
-0.8899 -5.0681 -0.0550 Se
2.1057 -3.9463 4.4102 Cs
2.6114 -3.9913 0.3714 Cs
3.1171 -4.0362 -3.6673 Cs
-1.3448 -3.2168 -2.2098 Er
-1.8569 -3.1713 1.8800 Er
0.0000 0.0000 0.0000 Cr
```

Values from the calculation:
The symmetry is C2/m. As for the uncorrected formation energy: -1.362 eV per atom. Its crystal system is monoclinic.

---

No. 2
VASP calculation (PBE) on a relaxed Cs3Er2CrTe6 crystal.

Structure (POSCAR):
```
Cs3Er2CrTe6
1.0
7.6710 -0.0030 -0.0031
-3.8363 6.6429 -0.0031
-1.2821 -2.2200 8.8423
Te Er Cs Cr
6 2 3 1
Cartesian
0.1727 4.4233 7.2542 Te
2.6455 4.5807 1.6081 Te
2.3799 -0.0035 1.5819 Te
-0.0929 -0.1608 7.2280 Te
-1.1924 2.0597 1.5819 Te
3.7450 2.3602 7.2542 Te
0.0087 4.4222 -0.0031 Er
3.8260 2.2176 -0.0031 Er
1.2763 2.2099 4.4181 Cs
-2.4738 4.3757 4.4181 Cs
5.0264 0.0441 4.4181 Cs
0.0000 0.0000 0.0000 Cr
```

Values from the calculation:
The symmetry is C2/m. As for the uncorrected formation energy: -1.054 eV per atom. Its crystal system is monoclinic.